Record 1
Material: PmFeIr
Method: DFT, PBE
State: optimized geometry

Formation energy from the elements   0.11 eV per atom
Distance to the lowest polymorph of the same formula   0.000 eV per atom

Cell: 4.571 4.571 4.571 Å, 60.00 60.00 60.00°
Element x y z (fractional)
Pm 0.000 0.000 0.000
Fe 0.500 0.500 0.500
Ir 0.250 0.250 0.250



Record 2
Material: NdTmTe6
Method: DFT, PBE
State: optimized geometry

Total energy   -4.4351 eV/atom

Cell: 4.348 13.461 13.461 Å, 18.58 90.00 90.00°
Element x y z (fractional)
Nd 0.000 0.000 0.000
Tm 0.500 0.342 0.342
Te 0.000 0.248 0.248
Te 0.000 0.597 0.597
Te 0.000 0.876 0.876
Te 0.500 0.097 0.097
Te 0.500 0.462 0.462
Te 0.500 0.748 0.748



Listing size of the total moment for the structures above in their given order: 3.64 0.02 Bohr magnetons per cell.